## HoScGa (PBE-GGA)

Data for crystalline HoScGa at its relaxed geometry.

Lattice parameters (Å, degrees): 6.8869 6.8869 6.8869 90.00 90.00 90.00
Space group F-43m (No. 216)
Asymmetric unit:
Ho: 0.0000 0.0000 0.0000 [4 per cell]
Sc: 0.2500 0.2500 0.2500 [4 per cell]
Ga: 0.2500 0.2500 0.7500 [4 per cell]

Values from the calculation:
**Relative energy among the computed polymorphs**: 99 meV per atom
**E**: -0.155 Ha/atom
**Mass density**: 5.7 g cm⁻³



## LiIrO3 (PBE-GGA)

Data for crystalline LiIrO3 at its relaxed geometry.

Lattice parameters (Å, degrees): 5.2075 5.2075 13.6078 90.00 90.00 120.00
Space group R-3 (No. 148, hexagonal axes)
Asymmetric unit:
Li: 0.0000 0.0000 0.1331 [6 per cell]
Ir: 0.0000 0.0000 0.3377 [6 per cell]
O: 0.0094 0.6385 0.9215 [18 per cell]

Values from the calculation:
**E**: -0.228 Ha/atom
**Mass density**: 7.7 g cm⁻³



## Tb2FeSi2MoC (PBE-GGA)

Data for crystalline Tb2FeSi2MoC at its relaxed geometry.

Lattice parameters (Å, degrees): 10.9425 3.8465 7.0309 90.00 127.66 90.00
Space group Cm (No. 8)
Asymmetric unit:
Tb: 0.0000 0.0000 0.0000 [2 per cell]
Tb: 0.1390 0.0000 0.5952 [2 per cell]
Fe: 0.3662 0.0000 0.2115 [2 per cell]
Si: 0.2272 0.5000 0.9949 [2 per cell]
Si: 0.4389 0.0000 0.6165 [2 per cell]
Mo: 0.2690 0.5000 0.3828 [2 per cell]
C: 0.0586 0.5000 0.2905 [2 per cell]

Values from the calculation:
**E**: -0.276 Ha/atom
**Mass density**: 7.6 g cm⁻³



## LuAlNiAu (PBE-GGA)

Data for crystalline LuAlNiAu at its relaxed geometry.

Lattice parameters (Å, degrees): 6.5268 6.5268 6.5268 90.00 90.00 90.00
Space group F-43m (No. 216)
Asymmetric unit:
Lu: 0.0000 0.0000 0.0000 [4 per cell]
Al: 0.2500 0.2500 0.2500 [4 per cell]
Ni: 0.0000 0.0000 0.5000 [4 per cell]
Au: 0.2500 0.2500 0.7500 [4 per cell]

Values from the calculation:
**E**: -0.170 Ha/atom
**Mass density**: 10.9 g cm⁻³



## ZnInGaTe3S (PBE-GGA)

Data for crystalline ZnInGaTe3S at its relaxed geometry.

Lattice parameters (Å, degrees): 6.0679 6.0719 7.2053 113.07 114.84 91.93
Space group P1 (No. 1)
Asymmetric unit:
Zn: 0.0000 0.0000 0.0000 [1 per cell]
In: 0.4644 0.4673 0.9943 [1 per cell]
Ga: 0.6988 0.2381 0.4739 [1 per cell]
Te: 0.0907 0.6216 0.7095 [1 per cell]
Te: 0.5791 0.0624 0.7130 [1 per cell]
Te: 0.8817 0.8773 0.2731 [1 per cell]
S: 0.3522 0.3423 0.2483 [1 per cell]

Values from the calculation:
**E**: -0.124 Ha/atom
**Mass density**: 5.1 g cm⁻³



## LiZn2F6 (PBE-GGA)

Data for crystalline LiZn2F6 at its relaxed geometry.

Lattice parameters (Å, degrees): 4.5231 4.5231 9.1026 90.00 90.00 90.00
Space group P4_2/mnm (No. 136)
Asymmetric unit:
Li: 0.0000 0.0000 0.0000 [2 per cell]
Zn: 0.0000 0.0000 0.3342 [4 per cell]
F: 0.1983 0.1983 0.1671 [8 per cell]
F: 0.2021 0.2021 0.5000 [4 per cell]

Values from the calculation:
**E**: -0.144 Ha/atom
**Mass density**: 4.5 g cm⁻³



## Dy2ErTm2Lu2Ni2Te2 (PBE-GGA)

Data for crystalline Dy2ErTm2Lu2Ni2Te2 at its relaxed geometry.

Lattice parameters (Å, degrees): 3.8101 15.4080 9.4952 90.00 90.00 90.00
Space group Imm2 (No. 44)
Asymmetric unit:
Dy: 0.0000 0.1854 0.0000 [4 per cell]
Er: 0.0000 0.5000 0.6236 [2 per cell]
Tm: 0.0000 0.3662 0.2040 [4 per cell]
Lu: 0.0000 0.1458 0.3509 [4 per cell]
Ni: 0.0000 0.2640 0.6946 [4 per cell]
Te: 0.0000 0.0000 0.8553 [2 per cell]
Te: 0.0000 0.5000 0.9611 [2 per cell]

Values from the calculation:
**Relative energy among the computed polymorphs**: 17 meV per atom
**E**: -0.189 Ha/atom
**Mass density**: 9.3 g cm⁻³



## La2CuGe2Pd (PBE-GGA)

Data for crystalline La2CuGe2Pd at its relaxed geometry.

Lattice parameters (Å, degrees): 4.3503 4.3503 8.3252 90.00 90.00 120.00
Space group P-6m2 (No. 187)
Asymmetric unit:
La: 0.0000 0.0000 0.2500 [2 per cell]
Cu: 0.6667 0.3333 0.0000 [1 per cell]
Ge: 0.3333 0.6667 0.0000 [1 per cell]
Ge: 0.6667 0.3333 0.5000 [1 per cell]
Pd: 0.3333 0.6667 0.5000 [1 per cell]

Values from the calculation:
**E**: -0.201 Ha/atom
**Mass density**: 7.2 g cm⁻³



## Ag2I (PBE-GGA)

Data for crystalline Ag2I at its relaxed geometry.

Lattice parameters (Å, degrees): 8.2253 8.2253 8.2253 90.00 90.00 90.00
Space group Fd-3m (No. 227, origin choice 2)
Asymmetric unit:
Ag: 0.0000 0.0000 0.0000 [16 per cell]
I: 0.1250 0.1250 0.6250 [8 per cell]

Values from the calculation:
**Relative energy among the computed polymorphs**: 0 meV per atom
**E**: -0.079 Ha/atom
**Mass density**: 8.2 g cm⁻³



## CuB2Ir2 (PBE-GGA)

Data for crystalline CuB2Ir2 at its relaxed geometry.

Lattice parameters (Å, degrees): 2.9189 2.9189 13.0137 90.00 90.00 90.00
Space group I4/mmm (No. 139)
Asymmetric unit:
Cu: 0.0000 0.0000 0.0000 [2 per cell]
B: 0.0000 0.5000 0.2500 [4 per cell]
Ir: 0.0000 0.0000 0.3704 [4 per cell]

Values from the calculation:
**E**: -0.262 Ha/atom
**Mass density**: 14.1 g cm⁻³



## NpScU (PBE-GGA)

Data for crystalline NpScU at its relaxed geometry.

Lattice parameters (Å, degrees): 6.3215 6.3215 6.3215 90.00 90.00 90.00
Space group F-43m (No. 216)
Asymmetric unit:
Np: 0.0000 0.0000 0.0000 [4 per cell]
Sc: 0.0000 0.0000 0.5000 [4 per cell]
U: 0.2500 0.2500 0.2500 [4 per cell]

Values from the calculation:
**Relative energy among the computed polymorphs**: 0 meV per atom
**E**: -0.335 Ha/atom
**Mass density**: 13.7 g cm⁻³



## Si2Hg2As3P (PBE-GGA)

Data for crystalline Si2Hg2As3P at its relaxed geometry.

Lattice parameters (Å, degrees): 12.4341 5.9469 5.9161 90.00 117.93 90.00
Space group C2 (No. 5)
Asymmetric unit:
Si: 0.1219 0.0000 0.3797 [4 per cell]
Hg: 0.1223 0.4855 0.8657 [4 per cell]
As: 0.0000 0.7863 0.0000 [2 per cell]
As: 0.2499 0.2448 0.2896 [4 per cell]
P: 0.0000 0.2008 0.5000 [2 per cell]

Values from the calculation:
**E**: -0.142 Ha/atom
**Mass density**: 6.1 g cm⁻³



## ZrTc (PBE-GGA)

Data for crystalline ZrTc at its relaxed geometry.

Lattice parameters (Å, degrees): 4.5996 13.3808 4.6060 90.00 90.00 90.00
Space group Pmmn (No. 59, origin choice 2)
Asymmetric unit:
Zr: 0.2500 0.0001 0.2492 [4 per cell]
Zr: 0.2500 0.1377 0.7461 [4 per cell]
Tc: 0.2500 0.2500 0.2445 [2 per cell]
Tc: 0.2500 0.6298 0.7534 [4 per cell]
Tc: 0.2500 0.7500 0.2555 [2 per cell]

Values from the calculation:
**E**: -0.353 Ha/atom
**Mass density**: 8.9 g cm⁻³



## AcTbF (PBE-GGA)

Data for crystalline AcTbF at its relaxed geometry.

Lattice parameters (Å, degrees): 3.4130 3.4130 7.0629 90.00 90.00 90.00
Space group P4/mmm (No. 123)
Asymmetric unit:
Ac: 0.0000 0.0000 0.0000 [1 per cell]
Tb: 0.0000 0.0000 0.5000 [1 per cell]
F: 0.5000 0.5000 0.5000 [1 per cell]

Values from the calculation:
**E**: -0.171 Ha/atom
**Mass density**: 8.2 g cm⁻³



## MgZnSiIr (PBE-GGA)

Data for crystalline MgZnSiIr at its relaxed geometry.

Lattice parameters (Å, degrees): 4.1377 4.1377 8.5621 90.00 90.00 120.00
Space group P-3m1 (No. 164)
Asymmetric unit:
Mg: 0.3333 0.6667 0.4128 [2 per cell]
Zn: 0.3333 0.6667 0.0698 [2 per cell]
Si: 0.0000 0.0000 0.2438 [2 per cell]
Ir: 0.3333 0.6667 0.7559 [2 per cell]

Values from the calculation:
**Relative energy among the computed polymorphs**: 34 meV per atom
**E**: -0.175 Ha/atom
**Mass density**: 8.1 g cm⁻³



## Pm4AlI5 (PBE-GGA)

Data for crystalline Pm4AlI5 at its relaxed geometry.

Lattice parameters (Å, degrees): 19.6934 4.2948 9.1240 90.00 102.54 90.00
Space group C2/m (No. 12)
Asymmetric unit:
Pm: 0.0000 0.0000 0.2241 [4 per cell]
Pm: 0.1500 0.5000 0.0764 [4 per cell]
Al: 0.0000 0.5000 0.0000 [2 per cell]
I: 0.0000 0.5000 0.5000 [2 per cell]
I: 0.1670 0.0000 0.3373 [4 per cell]
I: 0.1721 0.0000 0.8286 [4 per cell]

Values from the calculation:
**E**: -0.152 Ha/atom
**Mass density**: 5.5 g cm⁻³



## La3Zn8Cd3 (PBE-GGA)

Data for crystalline La3Zn8Cd3 at its relaxed geometry.

Lattice parameters (Å, degrees): 4.6129 9.1127 14.0140 90.00 90.00 90.00
Space group Immm (No. 71)
Asymmetric unit:
La: 0.0000 0.0000 0.0000 [2 per cell]
La: 0.0000 0.0000 0.2980 [4 per cell]
Zn: 0.0000 0.2714 0.1488 [8 per cell]
Zn: 0.0000 0.3633 0.3351 [8 per cell]
Cd: 0.0000 0.2033 0.5000 [4 per cell]
Cd: 0.0000 0.5000 0.0000 [2 per cell]

Values from the calculation:
**E**: -0.085 Ha/atom
**Mass density**: 7.2 g cm⁻³



## BeMoAu (PBE-GGA)

Data for crystalline BeMoAu at its relaxed geometry.

Lattice parameters (Å, degrees): 5.9562 5.9562 5.9562 90.00 90.00 90.00
Space group F-43m (No. 216)
Asymmetric unit:
Be: 0.0000 0.0000 0.0000 [4 per cell]
Mo: 0.2500 0.2500 0.7500 [4 per cell]
Au: 0.0000 0.0000 0.5000 [4 per cell]

Values from the calculation:
**Relative energy among the computed polymorphs**: 517 meV per atom
**E**: -0.182 Ha/atom
**Mass density**: 9.5 g cm⁻³



## SmGa2Pd2Pt (PBE-GGA)

Data for crystalline SmGa2Pd2Pt at its relaxed geometry.

Lattice parameters (Å, degrees): 5.2759 9.3590 4.3969 90.00 90.00 90.00
Space group Cmmm (No. 65)
Asymmetric unit:
Sm: 0.0000 0.0000 0.0000 [2 per cell]
Ga: 0.2500 0.2500 0.5000 [4 per cell]
Pd: 0.0000 0.3165 0.0000 [4 per cell]
Pt: 0.0000 0.5000 0.5000 [2 per cell]

Values from the calculation:
**E**: -0.196 Ha/atom
**Mass density**: 10.7 g cm⁻³



## NdH4 (PBE-GGA)

Data for crystalline NdH4 at its relaxed geometry.

Lattice parameters (Å, degrees): 3.7016 3.7016 6.0797 90.00 90.00 90.00
Space group I4/mmm (No. 139)
Asymmetric unit:
Nd: 0.0000 0.0000 0.0000 [2 per cell]
H: 0.0000 0.0000 0.4245 [4 per cell]
H: 0.0000 0.5000 0.2500 [4 per cell]

Values from the calculation:
**E**: -0.140 Ha/atom
**Mass density**: 5.9 g cm⁻³